Entry 1:
Entry from the Alexandria database: a relaxed structure of Na3CdPCO7 (PBEsol).

Energy relative to the elements, uncorrected in eV/atom: -1.897
DOS at the Fermi energy in states/eV per cell: 0.00
Total DFT energy (no corrections) in eV per atom: -6.33

```
Na3CdPCO7
1.0
5.169 0.000 -0.006
0.000 6.872 0.000
-0.037 0.000 9.109
Na Cd P C O
6 2 2 2 14
direct
0.241 0.250 0.917 Na
0.758 0.999 0.745 Na
0.758 0.501 0.745 Na
0.242 0.499 0.255 Na
0.242 0.001 0.255 Na
0.759 0.750 0.083 Na
0.232 0.750 0.631 Cd
0.768 0.250 0.369 Cd
0.297 0.250 0.594 P
0.703 0.750 0.406 P
0.263 0.750 0.940 C
0.737 0.250 0.060 C
0.712 0.250 0.919 O
0.034 0.750 0.880 O
0.468 0.750 0.857 O
0.204 0.071 0.683 O
0.204 0.429 0.683 O
0.599 0.250 0.589 O
0.803 0.750 0.567 O
0.197 0.250 0.433 O
0.401 0.750 0.411 O
0.796 0.571 0.317 O
0.796 0.929 0.317 O
0.532 0.250 0.143 O
0.966 0.250 0.120 O
0.288 0.750 0.081 O
```



Entry 2:
Entry from the Alexandria database: a relaxed structure of NbCdRu2C (PBEsol).

DOS at the Fermi energy in states/eV per cell: 3.38
Total DFT energy (no corrections) in eV per atom: -5.92
Calculated formation energy in kJ per mole of atoms: 240

```
NbCdRu2C
1.0
-1.475 -1.825 -2.863
-2.655 -2.661 3.064
-3.569 3.274 -0.248
Ru Nb C Cd
2 1 1 1
direct
0.000 0.000 0.500 Ru
0.000 0.500 0.000 Ru
0.500 0.500 0.500 Nb
0.500 0.000 0.000 C
0.000 0.000 0.000 Cd
```



Entry 3:
Entry from the Alexandria database: a relaxed structure of YNb2CdC (PBEsol).

DOS at the Fermi energy in states/eV per cell: 7.54
Total DFT energy (no corrections) in eV per atom: -4.70
Calculated formation energy in kJ per mole of atoms: 305

```
YNb2CdC
1.0
4.870 0.000 0.000
0.000 4.870 0.000
0.000 0.000 5.390
Y Nb C Cd
1 2 1 1
direct
0.000 0.000 0.000 Y
0.000 0.500 0.000 Nb
0.500 0.000 0.000 Nb
0.500 0.500 0.500 C
0.000 0.000 0.500 Cd
```



Entry 4:
Entry from the Alexandria database: a relaxed structure of CdNi3C (PBEsol).

DOS at the Fermi energy in states/eV per cell: 5.82
Total DFT energy (no corrections) in eV per atom: -5.89
Calculated formation energy in kJ per mole of atoms: -3

```
CdNi3C
1.0
-0.165 0.550 -3.759
-2.441 -2.899 -0.317
-2.911 2.399 0.479
Ni C Cd
3 1 1
direct
0.000 0.500 0.000 Ni
0.000 0.000 0.500 Ni
0.500 0.000 0.000 Ni
0.000 0.000 0.000 C
0.500 0.500 0.500 Cd
```